Computed, not measured: crystalline Sr2ZrMnO6 at its relaxed geometry at the PBE with a Hubbard U level of DFT.

Output
Total magnetization, μB per formula unit: 3.01
Volume, A^3/atom: 12.92
Energy above the lowest structure with this stoichiometry, meV per atom: 0.0
Electronic total energy, eV per atom: -7.57

a = 5.674 Å, b = 5.674 Å, c = 5.674 Å
α = 60.00°, β = 60.00°, γ = 60.00°
Fractional positions:
Sr1 0.250 0.250 0.250
Sr2 0.750 0.750 0.750
Zr1 0.000 0.000 0.000
Mn1 0.500 0.500 0.500
O1 0.260 0.260 0.740
O2 0.260 0.740 0.260
O3 0.260 0.740 0.740
O4 0.740 0.260 0.260
O5 0.740 0.260 0.740
O6 0.740 0.740 0.260